Entry 1:
Computed, not measured: a relaxed structure of Tl5Se3 at the PBE level of DFT.

## Properties
* formation energy from raw total energies: -0.322 eV per atom
* D(E_F): 4.3 states/eV/f.u.

abc: 9.681 8.437 9.679
angles: 94.26 111.54 130.69
Fractional positions:
Tl1 0.803 0.700 0.715
Tl2 0.702 0.250 0.453
Se1 0.252 0.250 0.003
Se2 0.102 0.631 0.802
Se3 0.747 0.750 0.997
Tl3 0.485 0.200 0.896
Tl4 0.515 0.801 0.104
Tl5 0.196 0.301 0.285
Se4 0.330 0.133 0.529
Se5 0.670 0.868 0.471
Tl6 0.800 0.665 0.313
Tl7 0.200 0.336 0.687
Tl8 0.296 0.750 0.547
Se6 0.895 0.367 0.198
Tl9 0.148 0.836 0.135
Tl10 0.852 0.165 0.865

=====

Entry 2:
Computed, not measured: a relaxed structure of TbPmZnPt at the PBE level of DFT.

## Properties
* D(E_F): 2.8 states/eV/f.u.
* calculated formation energy: -731 meV/atom

abc: 5.063 5.063 5.063
angles: 60.00 60.00 60.00
Fractional positions:
Pt1 0.750 0.750 0.750
Tb1 0.000 0.000 0.000
Pm1 0.500 0.500 0.500
Zn1 0.250 0.250 0.250

=====

no.,ΔE to the lowest computed polymorph (eV per formula unit)
1,0.12
2,0.17